Here is an optimized crystal structure of La2YPuN4 from Alexandria. Energies are from PBE.

## Properties
- spin magnetization (μB per formula unit) = 4.570
- N(E_F) (states/eV/f.u.) = 7.8
- formation energy (no corrections) (eV per atom) = -1.372
- VASP energy (Ry/atom) = -0.688

Cell and atoms, written as CIF:
```
data_La2YPuN4
_chemical_formula_sum 'La2 Y1 Pu1 N4'
_symmetry_space_group_name_H-M 'P 1'
_symmetry_Int_Tables_number 1
_cell_length_a 6.181
_cell_length_b 3.595
_cell_length_c 6.270
_cell_angle_alpha 90.00
_cell_angle_beta 109.05
_cell_angle_gamma 90.00
loop_
_symmetry_equiv_pos_as_xyz
'x,y,z'
loop_
_atom_site_label
_atom_site_type_symbol
_atom_site_fract_x
_atom_site_fract_y
_atom_site_fract_z
La1 La 0.000 0.000 0.000
La2 La 0.500 0.500 0.000
Y1 Y 0.000 0.500 0.500
Pu1 Pu 0.500 0.000 0.500
N1 N 0.251 0.000 0.727
N2 N 0.267 0.500 0.280
N3 N 0.733 0.500 0.720
N4 N 0.749 0.000 0.273
```